InOsCl2 | PBE | optimized geometry

```
data_InOsCl2
_cell_length_a 3.2076
_cell_length_b 6.0525
_cell_length_c 9.3999
_cell_angle_alpha 90.00
_cell_angle_beta 90.00
_cell_angle_gamma 90.00
_symmetry_space_group_name_H-M 'C m m 2'
_symmetry_Int_Tables_number 35
loop_
_symmetry_equiv_pos_as_xyz
'x,y,z'
'-x,-y,z'
'-x,y,z'
'x,-y,z'
'x+1/2,y+1/2,z'
'-x+1/2,-y+1/2,z'
'-x+1/2,y+1/2,z'
'x+1/2,-y+1/2,z'
loop_
_atom_site_label
_atom_site_type_symbol
_atom_site_fract_x
_atom_site_fract_y
_atom_site_fract_z
In1 In 0.0000 0.0000 0.0000
Os1 Os 0.0000 0.5000 0.2300
Cl1 Cl 0.0000 0.0000 0.4109
Cl2 Cl 0.0000 0.5000 0.7858
```

Output
As for the raw formation energy: 216.1 meV/atom. The energy comes out at -33.6 eV per cell. The value obtained for the volume is 22.8 Å³/atom. For the energy above the most stable polymorph in this dataset, the calculation gives 204 meV/atom.

NaMg5In2 | PBE | optimized geometry

```
data_NaMg5In2
_cell_length_a 4.6081
_cell_length_b 8.7032
_cell_length_c 10.6214
_cell_angle_alpha 90.00
_cell_angle_beta 90.00
_cell_angle_gamma 90.00
_symmetry_space_group_name_H-M 'I m m m'
_symmetry_Int_Tables_number 71
_symmetry_space_group_name_Hall '-I 2 2'
loop_
_atom_site_label
_atom_site_type_symbol
_atom_site_fract_x
_atom_site_fract_y
_atom_site_fract_z
Na1 Na 0.0000 0.0000 0.0000
Mg1 Mg 0.0000 0.1774 0.3443
Mg2 Mg 0.0000 0.5000 0.0000
In1 In 0.0000 0.5000 0.2768
```

Output
The energy comes out at -29.7 eV per cell. The value obtained for the volume is 26.6 Å³/atom. The value obtained for the formation energy is -0.010 eV/atom.

TaCN2F | PBE | optimized geometry

```
data_TaCN2F
_cell_length_a 4.0594
_cell_length_b 4.0594
_cell_length_c 3.9926
_cell_angle_alpha 90.00
_cell_angle_beta 90.00
_cell_angle_gamma 90.00
_symmetry_space_group_name_H-M 'P 4/m m m'
_symmetry_Int_Tables_number 123
_symmetry_space_group_name_Hall '-P 4 2'
loop_
_atom_site_label
_atom_site_type_symbol
_atom_site_fract_x
_atom_site_fract_y
_atom_site_fract_z
Ta1 Ta 0.0000 0.0000 0.0000
C1 C 0.5000 0.5000 0.5000
N1 N 0.0000 0.5000 0.0000
F1 F 0.0000 0.0000 0.5000
```

Output
As for the raw formation energy: 852.8 meV/atom. The energy comes out at -35.3 eV per cell. The value obtained for the volume is 13.2 Å³/atom.

TiFe2PtCl | PBE | optimized geometry

```
data_TiFe2PtCl
_cell_length_a 4.1240
_cell_length_b 4.1240
_cell_length_c 4.6743
_cell_angle_alpha 90.00
_cell_angle_beta 90.00
_cell_angle_gamma 90.00
_symmetry_space_group_name_H-M 'P 4/m m m'
_symmetry_Int_Tables_number 123
_symmetry_space_group_name_Hall '-P 4 2'
loop_
_atom_site_label
_atom_site_type_symbol
_atom_site_fract_x
_atom_site_fract_y
_atom_site_fract_z
Ti1 Ti 0.0000 0.0000 0.0000
Fe1 Fe 0.0000 0.5000 0.5000
Pt1 Pt 0.5000 0.5000 0.0000
Cl1 Cl 0.5000 0.5000 0.5000
```

Output
As for the raw formation energy: 693.1 meV/atom. The energy comes out at -29.2 eV per cell. The value obtained for the volume is 15.9 Å³/atom. For the energy above the most stable polymorph in this dataset, the calculation gives 0 meV/atom.

GdDyPbAu | PBE | optimized geometry

```
data_GdDyPbAu
_cell_length_a 7.4680
_cell_length_b 7.4680
_cell_length_c 7.4680
_cell_angle_alpha 90.00
_cell_angle_beta 90.00
_cell_angle_gamma 90.00
_symmetry_space_group_name_H-M 'F -4 3 m'
_symmetry_Int_Tables_number 216
_symmetry_space_group_name_Hall 'F -4 2 3'
loop_
_atom_site_label
_atom_site_type_symbol
_atom_site_fract_x
_atom_site_fract_y
_atom_site_fract_z
Gd1 Gd 0.0000 0.0000 0.0000
Dy1 Dy 0.0000 0.0000 0.5000
Pb1 Pb 0.2500 0.2500 0.2500
Au1 Au 0.2500 0.2500 0.7500
```

Output
The energy comes out at -112.7 eV per cell. The value obtained for the volume is 26.0 Å³/atom. The value obtained for the formation energy is -0.628 eV/atom.

NiRuSe2 | PBE | optimized geometry

```
data_NiRuSe2
_cell_length_a 6.3021
_cell_length_b 6.3021
_cell_length_c 6.3021
_cell_angle_alpha 90.00
_cell_angle_beta 90.00
_cell_angle_gamma 90.00
_symmetry_space_group_name_H-M 'F -4 3 m'
_symmetry_Int_Tables_number 216
_symmetry_space_group_name_Hall 'F -4 2 3'
loop_
_atom_site_label
_atom_site_type_symbol
_atom_site_fract_x
_atom_site_fract_y
_atom_site_fract_z
Ni1 Ni 0.0000 0.0000 0.0000
Ru1 Ru 0.2500 0.2500 0.7500
Se1 Se 0.0000 0.0000 0.5000
Se2 Se 0.2500 0.2500 0.2500
```

Output
As for the raw formation energy: 707.2 meV/atom. The energy comes out at -76.8 eV per cell. The value obtained for the volume is 15.6 Å³/atom. For the energy above the most stable polymorph in this dataset, the calculation gives 900 meV/atom.

SrScNbOs2 | PBE | optimized geometry

```
data_SrScNbOs2
_cell_length_a 4.8541
_cell_length_b 4.8541
_cell_length_c 4.8207
_cell_angle_alpha 90.00
_cell_angle_beta 90.00
_cell_angle_gamma 90.00
_symmetry_space_group_name_H-M 'P 4/m m m'
_symmetry_Int_Tables_number 123
_symmetry_space_group_name_Hall '-P 4 2'
loop_
_atom_site_label
_atom_site_type_symbol
_atom_site_fract_x
_atom_site_fract_y
_atom_site_fract_z
Sr1 Sr 0.0000 0.0000 0.0000
Sc1 Sc 0.5000 0.5000 0.5000
Nb1 Nb 0.0000 0.0000 0.5000
Os1 Os 0.0000 0.5000 0.0000
```

Output
The energy comes out at -27.6 eV per cell. The value obtained for the volume is 22.7 Å³/atom. The value obtained for the formation energy is 2.579 eV/atom.

HoFeCu | PBE | optimized geometry

```
data_HoFeCu
_cell_length_a 4.7024
_cell_length_b 11.5201
_cell_length_c 16.0450
_cell_angle_alpha 90.00
_cell_angle_beta 90.00
_cell_angle_gamma 90.00
_symmetry_space_group_name_H-M 'F m m m'
_symmetry_Int_Tables_number 69
_symmetry_space_group_name_Hall '-F 2 2'
loop_
_atom_site_label
_atom_site_type_symbol
_atom_site_fract_x
_atom_site_fract_y
_atom_site_fract_z
Ho1 Ho 0.0000 0.1445 0.1098
Fe1 Fe 0.0000 0.0000 0.4241
Fe2 Fe 0.0000 0.1732 0.5000
Cu1 Cu 0.0000 0.1114 0.2878
```

Output
The energy comes out at -269.3 eV per cell. The value obtained for the volume is 18.1 Å³/atom. The value obtained for the formation energy is 0.101 eV/atom.